[1]
## Ca4ScZn (GGA-PBE)

Data for crystalline Ca4ScZn at its relaxed geometry.

Structure (POSCAR):
```
Ca4ScZn
1.0
0.000 4.751 4.751
4.751 0.000 4.751
4.751 4.751 0.000
Ca Sc Zn
4 1 1
direct
0.124 0.124 0.124 Ca
0.124 0.124 0.627 Ca
0.124 0.627 0.124 Ca
0.627 0.124 0.124 Ca
0.750 0.750 0.750 Sc
0.500 0.500 0.500 Zn
```

The formation energy is 3.07 eV/f.u. Its total energy is -2.09 eV/atom. The value obtained for the total magnetic moment is 0.268 μB/atom.

---

[2]
## Ac2Tb3Nd (GGA-PBE)

Data for crystalline Ac2Tb3Nd at its relaxed geometry.

Structure (POSCAR):
```
Ac2Tb3Nd
1.0
8.272 -3.747 0.000
8.272 3.747 0.000
-1.696 0.000 7.291
Ac Tb Nd
4 6 2
direct
0.179 0.187 0.091 Ac
0.187 0.179 0.591 Ac
0.813 0.821 0.409 Ac
0.821 0.813 0.909 Ac
0.216 0.784 0.750 Tb
0.379 0.383 0.440 Tb
0.383 0.379 0.940 Tb
0.617 0.621 0.060 Tb
0.621 0.617 0.560 Tb
0.784 0.216 0.250 Tb
0.213 0.787 0.250 Nd
0.787 0.213 0.750 Nd
```

The formation energy is 0.84 eV/f.u. Its total energy is -4.34 eV/atom. The value obtained for the total magnetic moment is 0.000 μB/atom.

---

[3]
## Y2HoEr6Sc (GGA-PBE)

Data for crystalline Y2HoEr6Sc at its relaxed geometry.

Structure (POSCAR):
```
Y2HoEr6Sc
1.0
4.489 -7.368 0.000
4.489 7.368 0.000
-1.153 0.000 9.270
Y Ho Er Sc
4 2 12 2
direct
0.196 0.299 0.453 Y
0.299 0.196 0.953 Y
0.701 0.804 0.047 Y
0.804 0.701 0.547 Y
0.477 0.523 0.750 Ho
0.523 0.477 0.250 Ho
0.008 0.792 0.884 Er
0.066 0.509 0.690 Er
0.208 0.992 0.616 Er
0.252 0.627 0.057 Er
0.373 0.748 0.443 Er
0.491 0.934 0.810 Er
0.509 0.066 0.190 Er
0.627 0.252 0.557 Er
0.748 0.373 0.943 Er
0.792 0.008 0.384 Er
0.934 0.491 0.310 Er
0.992 0.208 0.116 Er
0.087 0.913 0.250 Sc
0.913 0.087 0.750 Sc
```

The formation energy is 1.32 eV/f.u. Its total energy is -4.99 eV/atom. The value obtained for the total magnetic moment is 0.000 μB/atom.

---

[4]
## LaZn11Rh (GGA-PBE)

Data for crystalline LaZn11Rh at its relaxed geometry.

Structure (POSCAR):
```
LaZn11Rh
1.0
2.546 -6.463 0.000
2.546 6.463 0.000
-2.546 0.000 6.459
La Zn Rh
1 11 1
direct
0.000 0.000 0.000 La
0.000 0.500 0.000 Zn
0.010 0.660 0.640 Zn
0.273 0.497 0.774 Zn
0.340 0.990 0.360 Zn
0.497 0.273 0.774 Zn
0.500 0.000 0.000 Zn
0.500 0.500 0.500 Zn
0.503 0.727 0.226 Zn
0.660 0.010 0.640 Zn
0.727 0.503 0.226 Zn
0.990 0.340 0.360 Zn
0.000 0.000 0.500 Rh
```

The formation energy is -3.35 eV/f.u. Its total energy is -2.28 eV/atom. The value obtained for the total magnetic moment is 0.000 μB/atom.

---

[5]
## Mg6Cd5In (GGA-PBE)

Data for crystalline Mg6Cd5In at its relaxed geometry.

Structure (POSCAR):
```
Mg6Cd5In
1.0
2.255 -6.780 0.000
2.255 6.780 0.000
-0.012 0.000 8.636
Mg Cd In
6 5 1
direct
0.000 0.000 0.247 Mg
0.000 0.000 0.753 Mg
0.333 0.667 0.247 Mg
0.333 0.667 0.753 Mg
0.667 0.333 0.247 Mg
0.667 0.333 0.753 Mg
0.166 0.834 0.000 Cd
0.169 0.831 0.500 Cd
0.500 0.500 0.000 Cd
0.831 0.169 0.500 Cd
0.834 0.166 0.000 Cd
0.500 0.500 0.500 In
```

The formation energy is -1.09 eV/f.u. Its total energy is -1.50 eV/atom. Its energy above the most stable polymorph in this dataset is 2 meV/atom. The value obtained for the total magnetic moment is 0.000 μB/atom.

---

[6]
## KIn2Br6 (GGA-PBE)

Data for crystalline KIn2Br6 at its relaxed geometry.

Structure (POSCAR):
```
KIn2Br6
1.0
7.805 -6.730 0.000
7.805 6.730 0.000
-3.290 0.000 8.041
K In Br
2 4 12
direct
0.117 0.883 0.750 K
0.883 0.117 0.250 K
0.192 0.382 0.784 In
0.382 0.192 0.284 In
0.618 0.808 0.716 In
0.808 0.618 0.216 In
0.026 0.191 0.663 Br
0.045 0.608 0.821 Br
0.191 0.026 0.163 Br
0.350 0.363 0.574 Br
0.363 0.350 0.074 Br
0.392 0.955 0.679 Br
0.608 0.045 0.321 Br
0.637 0.650 0.926 Br
0.650 0.637 0.426 Br
0.809 0.974 0.837 Br
0.955 0.392 0.179 Br
0.974 0.809 0.337 Br
```

Its total energy is -2.79 eV/atom. The value obtained for the total magnetic moment is 0.000 μB/atom. The value obtained for the uncorrected formation energy is -0.940 eV/atom.

---

[7]
## Dy2MnGa4Pt3 (GGA-PBE)

Data for crystalline Dy2MnGa4Pt3 at its relaxed geometry.

Structure (POSCAR):
```
Dy2MnGa4Pt3
1.0
4.032 0.000 0.000
0.000 4.032 0.000
0.000 0.000 11.338
Dy Mn Ga Pt
2 1 4 3
direct
0.000 0.500 0.245 Dy
0.500 0.000 0.755 Dy
0.500 0.500 0.000 Mn
0.000 0.000 0.500 Ga
0.000 0.500 0.864 Ga
0.500 0.000 0.136 Ga
0.500 0.500 0.500 Ga
0.000 0.000 0.000 Pt
0.000 0.500 0.643 Pt
0.500 0.000 0.357 Pt
```

The formation energy is -8.14 eV/f.u. Its total energy is -5.67 eV/atom. The value obtained for the total magnetic moment is 0.283 μB/atom.

---

[8]
## PaCuAgI6 (GGA-PBE)

Data for crystalline PaCuAgI6 at its relaxed geometry.

Structure (POSCAR):
```
PaCuAgI6
1.0
7.378 0.000 0.000
-3.689 6.389 0.000
0.000 0.000 14.099
Pa Cu Ag I
2 2 2 12
direct
0.333 0.667 0.250 Pa
0.667 0.333 0.750 Pa
0.333 0.667 0.750 Cu
0.667 0.333 0.250 Cu
0.000 0.000 0.000 Ag
0.000 0.000 0.500 Ag
0.014 0.349 0.627 I
0.014 0.665 0.873 I
0.335 0.349 0.873 I
0.335 0.986 0.627 I
0.349 0.014 0.127 I
0.349 0.335 0.373 I
0.651 0.665 0.627 I
0.651 0.986 0.873 I
0.665 0.014 0.373 I
0.665 0.651 0.127 I
0.986 0.335 0.127 I
0.986 0.651 0.373 I
```

Its total energy is -3.39 eV/atom. The value obtained for the total magnetic moment is 0.113 μB/atom. The value obtained for the uncorrected formation energy is -0.527 eV/atom.

---

[9]
## LaSn6Ru4 (GGA-PBE)

Data for crystalline LaSn6Ru4 at its relaxed geometry.

Structure (POSCAR):
```
LaSn6Ru4
1.0
-3.483 3.483 4.941
3.483 -3.483 4.941
3.483 3.483 -4.941
La Sn Ru
1 6 4
direct
0.000 0.000 0.000 La
0.000 0.500 0.500 Sn
0.117 0.475 0.000 Sn
0.475 0.117 0.000 Sn
0.500 0.000 0.500 Sn
0.525 0.525 0.642 Sn
0.883 0.883 0.358 Sn
0.250 0.250 0.658 Ru
0.408 0.750 0.000 Ru
0.592 0.592 0.342 Ru
0.750 0.408 0.000 Ru
```

The formation energy is -4.00 eV/f.u. Its total energy is -6.37 eV/atom. The value obtained for the total magnetic moment is 0.000 μB/atom.

---

[10]
## Rb5Pb2S4 (GGA-PBE)

Data for crystalline Rb5Pb2S4 at its relaxed geometry.

Structure (POSCAR):
```
Rb5Pb2S4
1.0
8.832 -2.457 0.000
8.832 2.457 0.000
-1.962 0.000 11.007
Rb Pb S
5 2 4
direct
0.000 0.000 0.000 Rb
0.299 0.299 0.178 Rb
0.354 0.354 0.566 Rb
0.646 0.646 0.434 Rb
0.701 0.701 0.822 Rb
0.032 0.032 0.660 Pb
0.968 0.968 0.340 Pb
0.181 0.181 0.643 S
0.480 0.480 0.212 S
0.520 0.520 0.788 S
0.819 0.819 0.357 S
```

Its total energy is -3.42 eV/atom. The value obtained for the total magnetic moment is 0.000 μB/atom. The value obtained for the uncorrected formation energy is -0.801 eV/atom.

---

[11]
## LiPmAsP (GGA-PBE)

Data for crystalline LiPmAsP at its relaxed geometry.

Structure (POSCAR):
```
LiPmAsP
1.0
0.000 3.458 3.458
3.458 0.000 3.458
3.458 3.458 0.000
Li Pm As P
1 1 1 1
direct
0.000 0.000 0.000 Li
0.500 0.500 0.500 Pm
0.750 0.750 0.750 As
0.250 0.250 0.250 P
```

The formation energy is -2.58 eV/f.u. Its total energy is -4.83 eV/atom. The value obtained for the total magnetic moment is 0.000 μB/atom.